# 1
An optimized crystal structure of LiTlCuPb, computed with GGA-PBE.

Values from the calculation:
As for the density of states at the Fermi level: 1.9 states/eV/f.u. For the formation energy from the elements, the calculation gives 0.025 eV/atom. The calculation puts the energy at -2.996 eV per atom. Its spin magnetization is 0.000 μB/f.u.

Cell: 6.962 6.962 6.962 Å, 90.00 90.00 90.00°
Space group F-43m (No. 216)
Symmetry-distinct sites (fractional):
Li1 0.000 0.000 0.000
Tl1 0.250 0.250 0.250
Cu1 0.000 0.000 0.500
Pb1 0.250 0.250 0.750

# 2
An optimized crystal structure of LiV2CuPb, computed with GGA-PBE.

Values from the calculation:
As for the density of states at the Fermi level: 10.4 states/eV/f.u. For the formation energy from the elements, the calculation gives 1.000 eV/atom. The calculation puts the energy at -4.591 eV per atom. Its spin magnetization is 6.482 μB/f.u.

Cell: 4.808 4.808 4.971 Å, 90.00 90.00 90.00°
Space group P4/mmm (No. 123)
Symmetry-distinct sites (fractional):
Li1 0.000 0.000 0.000
V1 0.000 0.500 0.500
Cu1 0.500 0.500 0.500
Pb1 0.500 0.500 0.000

# 3
An optimized crystal structure of LiZnCuPb, computed with GGA-PBE.

Values from the calculation:
As for the density of states at the Fermi level: 1.4 states/eV/f.u. For the formation energy from the elements, the calculation gives -0.010 eV/atom. The calculation puts the energy at -2.758 eV per atom. Its spin magnetization is 0.000 μB/f.u.

Cell: 6.511 6.511 6.511 Å, 90.00 90.00 90.00°
Space group F-43m (No. 216)
Symmetry-distinct sites (fractional):
Li1 0.000 0.000 0.000
Zn1 0.250 0.250 0.750
Cu1 0.000 0.000 0.500
Pb1 0.250 0.250 0.250

# 4
An optimized crystal structure of Li3Cu6Pd2, computed with GGA-PBE.

Values from the calculation:
As for the density of states at the Fermi level: 2.7 states/eV/f.u. For the formation energy from the elements, the calculation gives -0.090 eV/atom. The calculation puts the energy at -3.790 eV per atom. Its spin magnetization is 0.000 μB/f.u.

Cell: 4.944 5.180 6.785 Å, 90.14 103.61 118.13°
Space group P-1 (No. 2)
Symmetry-distinct sites (fractional):
Li1 0.000 0.000 0.000
Li2 0.123 0.986 0.381
Cu1 0.076 0.542 0.843
Cu2 0.288 0.587 0.496
Cu3 0.442 0.463 0.174
Pd1 0.495 0.961 0.206

# 5
An optimized crystal structure of LiCuPd14, computed with GGA-PBE.

Values from the calculation:
As for the density of states at the Fermi level: 32.0 states/eV/f.u. For the formation energy from the elements, the calculation gives -0.068 eV/atom. The calculation puts the energy at -4.987 eV per atom. Its spin magnetization is 0.001 μB/f.u.

Cell: 9.122 5.545 9.576 Å, 90.00 90.00 90.00°
Space group Amm2 (No. 38)
Symmetry-distinct sites (fractional):
Li1 0.000 0.000 0.000
Cu1 0.000 0.000 0.500
Pd1 0.000 0.249 0.750
Pd2 0.243 0.250 0.084
Pd3 0.245 0.000 0.336
Pd4 0.247 0.000 0.835
Pd5 0.500 0.000 0.169
Pd6 0.500 0.000 0.668
Pd7 0.500 0.250 0.419

# 6
An optimized crystal structure of LiCu23Pd6, computed with GGA-PBE.

Values from the calculation:
As for the density of states at the Fermi level: 12.7 states/eV/f.u. For the formation energy from the elements, the calculation gives -0.022 eV/atom. The calculation puts the energy at -4.265 eV per atom. Its spin magnetization is 0.000 μB/f.u.

Cell: 11.584 11.584 11.584 Å, 90.00 90.00 90.00°
Space group Fm-3m (No. 225)
Symmetry-distinct sites (fractional):
Li1 0.000 0.000 0.000
Cu1 0.000 0.000 0.500
Cu2 0.000 0.250 0.250
Cu3 0.122 0.122 0.378
Cu4 0.165 0.165 0.165
Pd1 0.000 0.000 0.223

Question: Among the records above, which one has the highest formation energy from the elements?
Answer: LiV2CuPb

Question: What is the formation energy from the elements in the fourth record?
Answer: -0.090 eV/atom

Question: Number 2 is which compound?
Answer: LiV2CuPb